Density functional theory data (PBE) for an optimized crystal structure of Er2Mg7Sc2.

Computed properties:
The calculation puts the formation energy at 0.8 eV per formula unit. The calculation puts the magnetization at 0.0 μB/f.u. The space group is Imm2 (44).

```
Er2Mg7Sc2
1.0
4.954 0.000 -1.512
-1.144 6.537 -3.749
-0.138 0.361 8.419
Er Mg Sc
2 7 2
direct
0.282 0.912 0.564
0.718 0.348 0.436
0.121 0.065 0.242
0.132 0.454 0.265
0.500 0.906 0.000
0.351 0.464 0.701
0.649 0.763 0.299
0.879 0.822 0.758
0.868 0.189 0.735
0.000 0.617 0.000
0.500 0.314 0.000
```

***

Density functional theory data (PBE) for an optimized crystal structure of ErMg6Sc.

Computed properties:
The calculation puts the formation energy at -0.4 eV per formula unit. The calculation puts the magnetization at 0.0 μB/f.u. The space group is P4/mmm (123).

```
ErMg6Sc
1.0
4.585 0.000 0.000
0.000 4.585 0.000
0.000 0.000 9.125
Er Mg Sc
1 6 1
direct
0.000 0.000 0.000
0.500 0.500 0.000
0.500 0.500 0.500
0.500 0.000 0.256
0.500 0.000 0.744
0.000 0.500 0.256
0.000 0.500 0.744
0.000 0.000 0.500
```

***

Density functional theory data (PBE) for an optimized crystal structure of ErMgSc2.

Computed properties:
The calculation puts the formation energy at 0.2 eV per formula unit. The calculation puts the magnetization at 0.0 μB/f.u. The space group is P4/mmm (123). The energy above the lowest structure with this stoichiometry comes out at 0.175 eV/f.u.

```
ErMgSc2
1.0
-2.071 -0.106 -4.250
0.060 -4.653 0.087
-4.184 -0.016 2.039
Sc Mg Er
2 1 1
direct
0.000 0.000 0.500
0.000 0.500 0.000
0.500 0.500 0.500
0.500 0.000 0.000
```

***

Density functional theory data (PBE) for an optimized crystal structure of Er2Mg3Sc3.

Computed properties:
The calculation puts the formation energy at 0.1 eV per formula unit. The calculation puts the magnetization at 0.0 μB/f.u. The space group is R3m (160). The energy above the lowest structure with this stoichiometry comes out at 0.000 eV/f.u.

```
Er2Mg3Sc3
1.0
-0.453 4.678 2.260
-1.870 0.381 4.853
7.174 0.948 5.492
Er Mg Sc
2 3 3
direct
0.001 0.001 0.998
0.500 0.500 0.500
0.125 0.125 0.626
0.877 0.877 0.369
0.373 0.373 0.881
0.247 0.247 0.258
0.752 0.752 0.745
0.626 0.626 0.123
```

***

no.,energy (eV for the cell shown)
1,-32.1
2,-20.8
3,-18.6
4,-32.8